HoNbN2O | PBE | relaxed

As for the calculated volume: 12.40 Å³/atom. The calculation puts the spin magnetization at 0.00 μB/atom. The calculated total energy is -9.06 eV per atom.

a b c (Å): 7.892 7.898 7.963
angles (deg): 89.94 87.36 89.85
Space group P1 (No. 1)
Unique sites:
Ho (0.000, 0.000, 0.000)
Ho (0.016, 0.995, 0.475)
Ho (0.429, 0.498, 0.934)
Ho (0.449, 0.501, 0.424)
Ho (0.508, 0.000, 0.491)
Ho (0.525, 0.003, 0.978)
Ho (0.940, 0.503, 0.437)
Ho (0.959, 0.501, 0.918)
Nb (0.212, 0.247, 0.715)
Nb (0.229, 0.238, 0.222)
Nb (0.229, 0.765, 0.720)
Nb (0.245, 0.765, 0.208)
Nb (0.718, 0.744, 0.722)
Nb (0.720, 0.733, 0.207)
Nb (0.734, 0.255, 0.716)
Nb (0.737, 0.257, 0.216)
N (0.150, 0.999, 0.741)
N (0.174, 0.688, 0.955)
N (0.182, 0.310, 0.950)
N (0.270, 0.002, 0.132)
N (0.277, 0.801, 0.452)
N (0.289, 0.193, 0.451)
N (0.477, 0.808, 0.756)
N (0.480, 0.690, 0.148)
N (0.670, 0.303, 0.451)
N (0.681, 0.698, 0.449)
N (0.689, 0.498, 0.773)
N (0.774, 0.186, 0.949)
N (0.784, 0.815, 0.948)
N (0.807, 0.500, 0.167)
N (0.978, 0.191, 0.256)
N (0.980, 0.309, 0.649)
O (0.189, 0.500, 0.287)
O (0.315, 0.494, 0.670)
O (0.478, 0.318, 0.147)
O (0.480, 0.176, 0.753)
O (0.643, 0.004, 0.237)
O (0.768, 0.998, 0.616)
O (0.977, 0.822, 0.253)
O (0.982, 0.682, 0.649)

***

GdY2In3CuGe2 | PBE | relaxed

As for the calculated volume: 22.51 Å³/atom. The calculation puts the spin magnetization at 0.00 μB/atom. The calculated total energy is -4.87 eV per atom.

a b c (Å): 4.248 12.860 7.417
angles (deg): 90.00 90.00 90.00
Space group Amm2 (No. 38)
Unique sites:
Gd (0.000, 0.000, 0.000)
Y (0.000, 0.202, 0.395)
In (0.500, 0.000, 0.354)
In (0.500, 0.121, 0.718)
Cu (0.000, 0.000, 0.596)
Ge (0.500, 0.167, 0.097)

***

Na2Mg2Ga2IrPd | PBE | relaxed

As for the calculated volume: 16.99 Å³/atom. The calculation puts the spin magnetization at 0.00 μB/atom. The calculated total energy is -3.46 eV per atom.

a b c (Å): 4.589 4.589 6.454
angles (deg): 90.00 90.00 90.00
Space group P-4m2 (No. 115)
Unique sites:
Na (0.000, 0.000, 0.000)
Na (0.500, 0.500, 0.500)
Mg (0.000, 0.500, 0.247)
Ga (0.000, 0.500, 0.764)
Ir (0.500, 0.500, 0.000)
Pd (0.000, 0.000, 0.500)

***

CuBSb2 | PBE | relaxed

As for the calculated volume: 19.50 Å³/atom. The calculated total energy is -3.49 eV per atom.

a b c (Å): 6.782 6.782 6.782
angles (deg): 90.00 90.00 90.00
Space group F-43m (No. 216)
Unique sites:
Cu (0.000, 0.000, 0.000)
B (0.250, 0.250, 0.750)
Sb (0.000, 0.000, 0.500)
Sb (0.250, 0.250, 0.250)

***

CuAg9 | PBE | relaxed

As for the calculated volume: 17.43 Å³/atom. The calculation puts the energy above the most stable polymorph in this dataset at 12 meV/atom.

a b c (Å): 14.849 4.100 5.847
angles (deg): 90.00 101.60 90.00
Space group C2/m (No. 12)
Unique sites:
Cu (0.000, 0.000, 0.000)
Ag (0.000, 0.000, 0.500)
Ag (0.097, 0.500, 0.293)
Ag (0.098, 0.500, 0.804)
Ag (0.197, 0.000, 0.098)
Ag (0.200, 0.000, 0.601)

***

Co12Ni | PBE | relaxed

As for the calculated volume: 11.15 Å³/atom. The calculation puts the spin magnetization at 1.59 μB/atom. The calculated total energy is -6.86 eV per atom.

a b c (Å): 4.5550 4.5550 24.1945
angles (deg): 90.00 90.00 120.00
Space group R-3m (No. 166, hexagonal axes)
Unique sites:
Co (0.0000, 0.0000, 0.0468)
Co (0.0000, 0.0000, 0.1513)
Co (0.0000, 0.0000, 0.3348)
Co (0.0043, 0.5022, 0.9129)
Ni (0.0000, 0.0000, 0.5000)

***

ZrI2Cl | PBE | relaxed

As for the calculated volume: 38.72 Å³/atom. The calculation puts the spin magnetization at 0.00 μB/atom. The calculation puts the energy above the most stable polymorph in this dataset at 5 meV/atom.

a b c (Å): 6.399 7.542 12.836
angles (deg): 90.00 90.00 90.00
Space group Ama2 (No. 40)
Unique sites:
Zr (0.000, 0.000, 0.000)
I (0.250, 0.169, 0.839)
I (0.250, 0.176, 0.511)
Cl (0.250, 0.125, 0.141)

***

ScPaBi | PBE | relaxed

As for the calculated volume: 30.36 Å³/atom. The calculation puts the spin magnetization at 1.49 μB/atom. The calculation puts the energy above the most stable polymorph in this dataset at 0 meV/atom.

a b c (Å): 7.142 7.142 7.142
angles (deg): 90.00 90.00 90.00
Space group F-43m (No. 216)
Unique sites:
Sc (0.000, 0.000, 0.000)
Pa (0.250, 0.250, 0.250)
Bi (0.250, 0.250, 0.750)

***

GePdNO | PBE | relaxed

As for the calculated volume: 12.53 Å³/atom. The calculation puts the energy above the most stable polymorph in this dataset at 748 meV/atom.

a b c (Å): 4.074 4.074 6.042
angles (deg): 90.00 90.00 90.00
Space group P4/nmm (No. 129, origin choice 2)
Unique sites:
Ge (0.250, 0.750, 0.000)
Pd (0.250, 0.250, 0.409)
N (0.250, 0.250, 0.956)
O (0.250, 0.750, 0.500)

***

Pr3AlNi8 | PBE | relaxed

As for the calculated volume: 15.59 Å³/atom. The calculation puts the spin magnetization at 0.00 μB/atom. The calculated total energy is -5.53 eV per atom.

a b c (Å): 5.1509 5.1509 16.2853
angles (deg): 90.00 90.00 120.00
Space group P6_3/mmc (No. 194)
Unique sites:
Pr (0.3333, 0.6667, 0.0459)
Pr (0.3333, 0.6667, 0.2500)
Al (0.0000, 0.0000, 0.0000)
Ni (0.0000, 0.0000, 0.2500)
Ni (0.1676, 0.3353, 0.6271)
Ni (0.3333, 0.6667, 0.7500)

***

RbDyFeS3 | PBE | relaxed

As for the calculated volume: 26.72 Å³/atom. The calculation puts the spin magnetization at 0.67 μB/atom. The calculated total energy is -5.72 eV per atom.

a b c (Å): 9.052 3.970 9.463
angles (deg): 90.00 109.44 90.00
Space group P2_1/m (No. 11)
Unique sites:
Rb (0.212, 0.250, 0.240)
Dy (0.334, 0.750, 0.854)
Fe (0.076, 0.250, 0.594)
S (0.118, 0.250, 0.846)
S (0.193, 0.750, 0.538)
S (0.465, 0.750, 0.156)

***

CsAgGeTeSe2 | PBE | relaxed

As for the calculated volume: 30.85 Å³/atom. The calculated total energy is -3.39 eV per atom.

a b c (Å): 3.762 17.347 11.347
angles (deg): 90.00 90.00 90.00
Space group Cmcm (No. 63)
Unique sites:
Cs (0.000, 0.246, 0.250)
Ag (0.000, 0.073, 0.750)
Ge (0.000, 0.500, 0.000)
Te (0.000, 0.448, 0.750)
Se (0.000, 0.109, 0.530)

***

Question: Look up the calculated volume of the seventh one.
Answer: 38.72 Å³/atom